# 1
The following is a GGA-PBE calculation of a relaxed structure of BeAgSb, from the Alexandria database.

abc: 6.3109 6.3109 6.3109
angles: 151.76 151.76 40.37
Element x y z (fractional)
1 Sb 0.6901 0.6901 0.0000
2 Ag 0.9581 0.9581 0.0000
3 Be 0.3519 0.3519 0.0000

Formation energy (no corrections) ... 0.402 eV per atom
Space-group type ... I4mm, No. 107

=====

# 2
The following is a GGA-PBE calculation of a relaxed structure of Mg2IrW, from the Alexandria database.

abc: 4.4577 2.8355 5.4575
angles: 79.80 90.00 90.00
Element x y z (fractional)
1 Ir 0.5000 0.6979 0.7278
2 W 0.0000 0.5678 0.5247
3 Mg 0.5000 0.2566 0.2546
4 Mg 0.0000 0.9777 0.9929

DFT formation energy ... 86 meV/atom
Space-group type ... Pm, No. 6

=====

# 3
The following is a GGA-PBE calculation of a relaxed structure of CsGe2IrS, from the Alexandria database.

abc: 4.9839 6.1449 4.9839
angles: 90.00 90.00 90.00
Last column: magnetic moment on the atom in μB.
Element x y z (fractional)
1 Ge 0.0000 0.0000 0.5000  -0.04
2 Ge 0.5000 0.0000 0.0000  -0.04
3 Ir 0.5000 0.5000 0.5000  1.16
4 Cs 0.0000 0.5000 0.0000  0.02
5 S 0.0000 0.0000 0.0000  0.00

Formation energy (no corrections) ... 1.164 eV per atom
Space-group type ... P4/mmm, No. 123

=====

# 4
The following is a GGA-PBE calculation of a relaxed structure of ScMo, from the Alexandria database.

abc: 8.0737 8.0737 8.0737
angles: 90.00 90.00 90.00
Element x y z (fractional)
1 Mo 0.1116 0.8884 0.1116
2 Mo 0.6116 0.6116 0.3884
3 Mo 0.1116 0.1116 0.8884
4 Mo 0.8884 0.8884 0.8884
5 Mo 0.3884 0.6116 0.6116
6 Mo 0.8884 0.1116 0.1116
7 Mo 0.6116 0.3884 0.6116
8 Mo 0.3884 0.3884 0.3884
9 Sc 0.7822 0.2178 0.7822
10 Sc 0.2178 0.7822 0.7822
11 Sc 0.7178 0.2822 0.2822
12 Sc 0.2822 0.7178 0.2822
13 Sc 0.2178 0.2178 0.2178
14 Sc 0.7822 0.7822 0.2178
15 Sc 0.2822 0.2822 0.7178
16 Sc 0.7178 0.7178 0.7178

DFT formation energy ... 1679 meV/atom
Space-group type ... I-43m, No. 217
Relative energy among the computed polymorphs ... 1703 meV/atom

=====

# 5
The following is a GGA-PBE calculation of a relaxed structure of TcSe2I, from the Alexandria database.

abc: 18.5669 7.3496 7.3496
angles: 85.63 130.75 49.25
Element x y z (fractional)
1 I 0.2543 0.1256 0.1379
2 I 0.7543 0.3621 0.3744
3 Tc 0.7543 0.7543 0.7665
4 Tc 0.2543 0.7335 0.7457
5 Se 0.1173 0.2852 0.4861
6 Se 0.8914 0.2025 0.0262
7 Se 0.6173 0.0139 0.2148
8 Se 0.3914 0.4738 0.2975

Formation energy (no corrections) ... -0.113 eV per atom
Space-group type ... C2/c, No. 15
Relative energy among the computed polymorphs ... 96 meV/atom

=====

# 6
The following is a GGA-PBE calculation of a relaxed structure of TiPd3Br, from the Alexandria database.

abc: 4.7120 4.7120 4.7120
angles: 90.00 90.00 90.00
Element x y z (fractional)
1 Br 0.0000 0.0000 0.0000
2 Ti 0.5000 0.5000 0.5000
3 Pd 0.0000 0.0000 0.5000
4 Pd 0.5000 0.0000 0.0000
5 Pd 0.0000 0.5000 0.0000

Formation energy (no corrections) ... 0.748 eV per atom
Space-group type ... Pm-3m, No. 221
Relative energy among the computed polymorphs ... 231 meV/atom

=====

# 7
The following is a GGA-PBE calculation of a relaxed structure of Y2CdIn, from the Alexandria database.

abc: 5.3302 5.3302 6.3284
angles: 78.20 78.20 40.65
Element x y z (fractional)
1 Y 0.4997 0.4997 0.4995
2 Y 0.0003 0.0003 0.0005
3 In 0.7500 0.7500 0.7500
4 Cd 0.2500 0.2500 0.2500

DFT formation energy ... -275 meV/atom
Space-group type ... C2/m, No. 12

=====

# 8
The following is a GGA-PBE calculation of a relaxed structure of AgSnB, from the Alexandria database.

abc: 3.1816 6.5226 6.7801
angles: 121.30 114.74 77.44
Element x y z (fractional)
1 Ag 0.0742 0.8278 0.5727
2 Ag 0.5743 0.2744 0.7959
3 Sn 0.4439 0.3843 0.2395
4 Sn 0.9435 0.7180 0.9063
5 B 0.6494 0.0744 0.3699
6 B 0.1493 0.0278 0.3465

DFT formation energy ... 283 meV/atom
Space-group type ... Cc, No. 9

=====

# 9
The following is a GGA-PBE calculation of a relaxed structure of ErCuGe2Ir, from the Alexandria database.

abc: 4.1204 4.1204 5.9142
angles: 110.39 110.39 90.00
Element x y z (fractional)
1 Ge 0.6193 0.6193 0.2386
2 Ge 0.3807 0.3807 0.7614
3 Cu 0.2500 0.7500 0.5000
4 Er 0.0000 0.0000 0.0000
5 Ir 0.7500 0.2500 0.5000

DFT formation energy ... -538 meV/atom
Space-group type ... I-4m2, No. 119

=====

# 10
The following is a GGA-PBE calculation of a relaxed structure of PrPd, from the Alexandria database.

abc: 3.9420 4.6599 5.8314
angles: 90.00 109.80 90.00
Element x y z (fractional)
1 Pd 0.5852 0.2500 0.1706
2 Pd 0.4148 0.7500 0.8294
3 Pr 0.1367 0.7500 0.2729
4 Pr 0.8633 0.2500 0.7271

DFT formation energy ... -786 meV/atom
Space-group type ... Cmcm, No. 63

=====

# 11
The following is a GGA-PBE calculation of a relaxed structure of LiHf2CBr, from the Alexandria database.

abc: 4.9759 4.3166 4.9759
angles: 90.00 90.00 90.00
Element x y z (fractional)
1 Li 0.5000 0.5000 0.5000
2 Hf 0.0000 0.0000 0.5000
3 Hf 0.5000 0.0000 0.0000
4 C 0.0000 0.5000 0.0000
5 Br 0.0000 0.0000 0.0000

Formation energy (no corrections) ... 1.643 eV per atom
Space-group type ... P4/mmm, No. 123

=====

# 12
The following is a GGA-PBE calculation of a relaxed structure of Ac2MgAl2, from the Alexandria database.

abc: 4.8100 4.4151 7.6602
angles: 106.75 90.00 90.00
Element x y z (fractional)
1 Mg 0.0000 0.0000 0.0000
2 Al 0.0000 0.1998 0.3997
3 Al 0.0000 0.8002 0.6003
4 Ac 0.5000 0.3666 0.7333
5 Ac 0.5000 0.6334 0.2667

DFT formation energy ... -244 meV/atom
Space-group type ... Cmmm, No. 65
Relative energy among the computed polymorphs ... 0 meV/atom

=====

# 13
The following is a GGA-PBE calculation of a relaxed structure of Cs3Mn2Br5Cl2, from the Alexandria database.

abc: 5.4654 5.4654 14.4430
angles: 100.91 100.91 90.00
Last column: magnetic moment on the atom in μB.
Element x y z (fractional)
1 Cs 0.1845 0.1845 0.3690  0.00
2 Cs 0.8155 0.8155 0.6310  0.00
3 Cs 0.0000 0.0000 0.0000  0.00
4 Cl 0.3116 0.3116 0.6231  0.04
5 Cl 0.6884 0.6884 0.3769  0.04
6 Br 0.4038 0.9038 0.8076  0.06
7 Br 0.9038 0.4038 0.8076  0.06
8 Br 0.5000 0.5000 0.0000  0.05
9 Br 0.5962 0.0962 0.1924  0.06
10 Br 0.0962 0.5962 0.1924  0.06
11 Mn 0.5999 0.5999 0.1998  4.43
12 Mn 0.4001 0.4001 0.8002  4.43

Formation energy (no corrections) ... -1.365 eV per atom
Space-group type ... I4/mmm, No. 139

=====

# 14
The following is a GGA-PBE calculation of a relaxed structure of GdErAl, from the Alexandria database.

abc: 3.4481 3.4481 7.1289
angles: 104.00 104.00 90.00
Last column: magnetic moment on the atom in μB.
Element x y z (fractional)
1 Er 0.2637 0.2637 0.5274  -0.08
2 Gd 0.9676 0.9676 0.9352  7.11
3 Al 0.6187 0.6187 0.2375  -0.01

DFT formation energy ... -249 meV/atom
Space-group type ... I4mm, No. 107
Relative energy among the computed polymorphs ... 0 meV/atom

=====

# 15
The following is a GGA-PBE calculation of a relaxed structure of CeEuHgPd, from the Alexandria database.

abc: 5.2766 5.2766 5.2766
angles: 60.00 60.00 60.00
Last column: magnetic moment on the atom in μB.
Element x y z (fractional)
1 Ce 0.7500 0.7500 0.7500  0.82
2 Eu 0.2500 0.2500 0.2500  6.81
3 Hg 0.5000 0.5000 0.5000  0.02
4 Pd 0.0000 0.0000 0.0000  -0.02

DFT formation energy ... -474 meV/atom
Space-group type ... F-43m, No. 216

=====

# 16
The following is a GGA-PBE calculation of a relaxed structure of Ca2Ac2BRh4, from the Alexandria database.

abc: 6.3943 6.3943 6.3943
angles: 99.75 114.54 114.54
Element x y z (fractional)
1 Rh 0.0000 0.2131 0.7869
2 Rh 0.0000 0.7869 0.2131
3 Rh 0.4261 0.2131 0.2131
4 Rh 0.5739 0.7869 0.7869
5 Ac 0.5000 0.7500 0.2500
6 Ac 0.5000 0.2500 0.7500
7 B 0.0000 0.0000 0.0000
8 Ca 0.0000 0.3107 0.3107
9 Ca 0.0000 0.6893 0.6893

DFT formation energy ... -444 meV/atom
Space-group type ... I4/mmm, No. 139

=====

# 17
The following is a GGA-PBE calculation of a relaxed structure of SmThAg, from the Alexandria database.

abc: 3.6575 3.6575 6.9272
angles: 105.31 105.31 90.00
Element x y z (fractional)
1 Th 0.0121 0.0121 0.0242
2 Sm 0.3183 0.3183 0.6367
3 Ag 0.6696 0.6696 0.3391

DFT formation energy ... -76 meV/atom
Space-group type ... I4mm, No. 107
Relative energy among the computed polymorphs ... 13 meV/atom

=====

# 18
The following is a GGA-PBE calculation of a relaxed structure of UBi2Au, from the Alexandria database.

abc: 4.6923 4.6923 8.9776
angles: 74.85 74.85 60.00
Last column: magnetic moment on the atom in μB.
Element x y z (fractional)
1 Bi 0.1048 0.1048 0.6856  -0.11
2 Bi 0.8952 0.8952 0.3144  -0.11
3 Au 0.0000 0.0000 0.0000  -0.03
4 U 0.5000 0.5000 0.5000  1.89

DFT formation energy ... 529 meV/atom
Space-group type ... R-3m, No. 166

=====

# 19
The following is a GGA-PBE calculation of a relaxed structure of Ce2IrPt, from the Alexandria database.

abc: 4.1901 5.9447 7.7593
angles: 109.23 90.00 90.00
Last column: magnetic moment on the atom in μB.
Element x y z (fractional)
1 Pt 0.2500 0.3114 0.2024  -0.01
2 Pt 0.7500 0.6886 0.7976  -0.01
3 Ce 0.7500 0.2244 0.4381  0.25
4 Ce 0.2500 0.7734 0.0749  0.29
5 Ce 0.7500 0.2266 0.9251  0.29
6 Ce 0.2500 0.7756 0.5619  0.25
7 Ir 0.2500 0.3028 0.7025  -0.03
8 Ir 0.7500 0.6972 0.2975  -0.03

DFT formation energy ... -954 meV/atom
Space-group type ... P2_1/m, No. 11

=====

# 20
The following is a GGA-PBE calculation of a relaxed structure of Ac3SbSe, from the Alexandria database.

abc: 5.8533 5.8533 5.8533
angles: 90.00 90.00 90.00
Element x y z (fractional)
1 Se 0.0000 0.0000 0.0000
2 Sb 0.5000 0.5000 0.5000
3 Ac 0.0000 0.5000 0.0000
4 Ac 0.0000 0.0000 0.5000
5 Ac 0.5000 0.0000 0.0000

Formation energy (no corrections) ... -0.643 eV per atom
Space-group type ... Pm-3m, No. 221

=====

E_tot, record by record: -9.49 -24.66 -17.25 -110.44 -38.67 -21.40 -17.68 -25.36 -29.45 -23.09 -24.50 -18.52 -49.34 -23.13 -23.60 -52.30 -15.22 -20.21 -61.17 -23.15 eV for the cell shown